Material: Rb2PaTe4Au2
Method: DFT, PBE
State: optimized geometry

Cell: 4.618 8.332 9.948 Å, 117.04 103.42 90.00°
Sites, in units of the cell vectors:
Rb: 0.144 0.674 0.288
Rb: 0.856 0.326 0.712
Pa: 0.000 0.000 0.000
Te: 0.187 0.228 0.374
Te: 0.813 0.772 0.626
Te: 0.490 0.731 0.979
Te: 0.510 0.269 0.021
Au: 0.629 0.044 0.258
Au: 0.371 0.956 0.742

Summary:
formation energy (no corrections)	-0.75	eV/atom

---

Material: Pm3SbPt
Method: DFT, PBE
State: optimized geometry

Cell: 4.220 8.955 8.967 Å, 67.99 90.00 90.00°
Sites, in units of the cell vectors:
Pm: 0.864 0.382 0.809
Pm: 0.864 0.006 0.684
Pm: 0.863 0.630 0.059
Pm: 0.363 0.034 0.086
Pm: 0.863 0.758 0.434
Pm: 0.363 0.354 0.407
Sb: 0.363 0.694 0.746
Sb: 0.863 0.194 0.247
Pt: 0.363 0.694 0.246
Pt: 0.364 0.194 0.747

Summary:
formation energy (no corrections)	-0.81	eV/atom
excess energy over the best structure of this formula in the dataset	0	meV/atom

---

Material: Pr3SbTeN
Method: DFT, PBE
State: optimized geometry

Cell: 4.324 9.455 9.632 Å, 95.96 90.00 90.00°
Sites, in units of the cell vectors:
Pr: 0.750 0.878 0.172
Pr: 0.250 0.122 0.828
Pr: 0.250 0.851 0.502
Pr: 0.750 0.149 0.498
Pr: 0.750 0.394 0.135
Pr: 0.250 0.606 0.865
Sb: 0.250 0.635 0.194
Sb: 0.750 0.365 0.806
Te: 0.250 0.153 0.197
Te: 0.750 0.847 0.803
N: 0.250 0.087 0.590
N: 0.750 0.913 0.410

Summary:
formation energy (no corrections)	-1.23	eV/atom

---

Material: TbSm12Tm3
Method: DFT, PBE
State: optimized geometry

Cell: 5.089 5.089 20.310 Å, 90.00 90.00 90.00°
Sites, in units of the cell vectors:
Tb: 0.000 0.000 0.000
Sm: 0.500 0.500 0.000
Sm: 0.500 0.500 0.251
Sm: 0.500 0.500 0.500
Sm: 0.500 0.500 0.749
Sm: 0.500 0.000 0.126
Sm: 0.500 0.000 0.375
Sm: 0.500 0.000 0.625
Sm: 0.500 0.000 0.874
Sm: 0.000 0.500 0.126
Sm: 0.000 0.500 0.375
Sm: 0.000 0.500 0.625
Sm: 0.000 0.500 0.874
Tm: 0.000 0.000 0.251
Tm: 0.000 0.000 0.500
Tm: 0.000 0.000 0.749

---

Material: RbCd11Rh
Method: DFT, PBE
State: optimized geometry

Cell: 5.672 7.881 7.766 Å, 83.54 68.58 72.05°
Sites, in units of the cell vectors:
Rb: 0.000 0.000 0.000
Cd: 0.294 0.230 0.217
Cd: 0.706 0.770 0.783
Cd: 0.489 0.770 0.217
Cd: 0.511 0.230 0.783
Cd: 0.362 0.633 0.657
Cd: 0.638 0.367 0.343
Cd: 0.981 0.367 0.657
Cd: 0.019 0.633 0.343
Cd: 0.000 0.500 0.000
Cd: 0.500 0.000 0.500
Cd: 0.000 0.000 0.500
Rh: 0.500 0.500 0.000

---

Material: Na3LaIn
Method: DFT, PBE
State: optimized geometry

Cell: 6.179 6.179 6.179 Å, 90.00 90.00 90.00°
Sites, in units of the cell vectors:
Na: 0.000 0.500 0.000
Na: 0.000 0.000 0.500
Na: 0.500 0.000 0.000
In: 0.500 0.500 0.500
La: 0.000 0.000 0.000

Summary:
excess energy over the best structure of this formula in the dataset	630	meV/atom

---

Material: Pr8Ni3PtCl4
Method: DFT, PBE
State: optimized geometry

Cell: 8.241 8.886 8.249 Å, 117.72 119.97 90.00°
Sites, in units of the cell vectors:
Pr: 0.239 0.706 0.967
Pr: 0.239 0.706 0.478
Pr: 0.266 0.298 0.531
Pr: 0.728 0.706 0.967
Pr: 0.272 0.294 0.033
Pr: 0.734 0.702 0.469
Pr: 0.761 0.294 0.522
Pr: 0.761 0.294 0.033
Ni: 0.500 0.500 0.000
Ni: 0.500 0.500 0.500
Ni: 0.000 0.500 0.500
Pt: 0.000 0.500 0.000
Cl: 0.500 0.000 0.000
Cl: 0.500 0.000 0.500
Cl: 0.000 0.000 0.000
Cl: 0.000 0.000 0.500

Summary:
formation energy (no corrections)	-1.00	eV/atom

---

Material: Ca2InHg2
Method: DFT, PBE
State: optimized geometry

Cell: 8.244 8.244 4.064 Å, 90.00 90.00 90.00°
Sites, in units of the cell vectors:
Ca: 0.169 0.669 0.500
Ca: 0.669 0.831 0.500
Ca: 0.831 0.331 0.500
Ca: 0.331 0.169 0.500
Hg: 0.370 0.870 0.000
Hg: 0.870 0.630 0.000
Hg: 0.630 0.130 0.000
Hg: 0.130 0.370 0.000
In: 0.000 0.000 0.000
In: 0.500 0.500 0.000

Summary:
excess energy over the best structure of this formula in the dataset	3	meV/atom

---

Material: FeOs2Pb
Method: DFT, PBE
State: optimized geometry

Cell: 4.803 4.803 4.803 Å, 129.66 129.66 73.95°
Sites, in units of the cell vectors:
Fe: 0.750 0.250 0.500
Os: 0.000 0.000 0.000
Os: 0.500 0.500 0.000
Pb: 0.250 0.750 0.500

---

Material: Ac3Ag2Pd6
Method: DFT, PBE
State: optimized geometry

Cell: 8.666 8.666 8.666 Å, 109.47 109.47 109.47°
Sites, in units of the cell vectors:
Ac: 0.700 0.000 0.700
Ac: 0.300 0.000 0.300
Ac: 0.000 0.300 0.300
Ac: 0.000 0.700 0.700
Ac: 0.300 0.300 0.000
Ac: 0.700 0.700 0.000
Ag: 0.000 0.500 0.000
Ag: 0.500 0.000 0.000
Ag: 0.000 0.000 0.500
Ag: 0.500 0.500 0.500
Pd: 0.660 0.319 0.660
Pd: 0.660 0.000 0.340
Pd: 0.340 0.000 0.660
Pd: 0.340 0.681 0.340
Pd: 0.000 0.660 0.340
Pd: 0.681 0.340 0.340
Pd: 0.319 0.660 0.660
Pd: 0.000 0.340 0.660
Pd: 0.340 0.660 0.000
Pd: 0.660 0.660 0.319
Pd: 0.340 0.340 0.681
Pd: 0.660 0.340 0.000

---

Material: Li2In2Au5
Method: DFT, PBE
State: optimized geometry

Cell: 7.407 5.935 9.239 Å, 108.74 113.63 90.00°
Sites, in units of the cell vectors:
Li: 0.168 0.566 0.143
Li: 0.832 0.424 0.857
Li: 0.475 0.066 0.143
Li: 0.525 0.924 0.857
In: 0.000 0.039 0.000
In: 0.500 0.539 0.000
In: 0.072 0.311 0.500
In: 0.928 0.811 0.500
Au: 0.157 0.698 0.820
Au: 0.843 0.878 0.180
Au: 0.163 0.198 0.820
Au: 0.837 0.378 0.180
Au: 0.281 0.024 0.318
Au: 0.719 0.706 0.682
Au: 0.537 0.524 0.318
Au: 0.463 0.206 0.682
Au: 0.300 0.691 0.500
Au: 0.700 0.191 0.500

---

Material: TlFeP2
Method: DFT, PBE
State: optimized geometry

Cell: 5.819 5.819 6.653 Å, 64.07 64.07 90.00°
Sites, in units of the cell vectors:
P: 0.508 0.125 0.250
P: 0.242 0.625 0.250
P: 0.375 0.492 0.750
P: 0.875 0.758 0.750
Tl: 0.000 0.000 0.000
Tl: 0.750 0.250 0.500
Fe: 0.500 0.500 0.000
Fe: 0.250 0.750 0.500

Summary:
excess energy over the best structure of this formula in the dataset	109	meV/atom

---

Number 1: raw total energy -4.148 eV per atom, spin magnetization 1.00 μB/cell. Number 2: raw total energy -5.688 eV per atom, spin magnetization 0.00 μB/cell. Number 3: raw total energy -6.222 eV per atom, spin magnetization 0.00 μB/cell. Number 4: raw total energy -4.650 eV per atom, spin magnetization 0.00 μB/cell. Number 5: raw total energy -1.462 eV per atom, spin magnetization 0.00 μB/cell. Number 6: raw total energy -1.313 eV per atom, spin magnetization 0.00 μB/cell. Number 7: raw total energy -5.315 eV per atom, spin magnetization 0.00 μB/cell. Number 8: raw total energy -1.929 eV per atom, spin magnetization 0.00 μB/cell. Number 9: raw total energy -7.787 eV per atom, spin magnetization 3.54 μB/cell. Number 10: raw total energy -5.103 eV per atom, spin magnetization 0.00 μB/cell. Number 11: raw total energy -3.106 eV per atom, spin magnetization 0.00 μB/cell. Number 12: raw total energy -5.337 eV per atom, spin magnetization 0.00 μB/cell.